[1]
A crystal of KLaIr2 relaxed with PBEsol, computed with meta-GGA SCAN. Values from VASP.

Computed properties:
Space-group type: I4/mmm

```
&SYSTEM
  ibrav = 0, nat = 8, ntyp = 3
/
ATOMIC_SPECIES
K 39.10 K.upf
La 138.91 La.upf
Ir 192.22 Ir.upf
CELL_PARAMETERS angstrom
4.361 0.000 0.000
0.000 4.361 0.000
0.000 0.000 8.516
ATOMIC_POSITIONS crystal
K 0.000 0.000 0.000
K 0.500 0.500 0.500
La 0.000 0.000 0.500
La 0.500 0.500 0.000
Ir 0.000 0.500 0.250
Ir 0.000 0.500 0.750
Ir 0.500 0.000 0.250
Ir 0.500 0.000 0.750
```

=====

[2]
A crystal of Mn2AlSe relaxed with PBEsol, computed with meta-GGA SCAN. Values from VASP.

Computed properties:
Space-group type: P4mm

```
&SYSTEM
  ibrav = 0, nat = 4, ntyp = 3
/
ATOMIC_SPECIES
Mn 54.94 Mn.upf
Al 26.98 Al.upf
Se 78.96 Se.upf
CELL_PARAMETERS angstrom
2.824 0.000 0.000
0.000 2.824 0.000
0.000 0.000 7.070
ATOMIC_POSITIONS crystal
Mn 0.000 0.000 0.000
Mn 0.500 0.500 0.208
Al 0.500 0.500 0.798
Se 0.000 0.000 0.398
```

=====

Number 1: magnetic moment 0.00 μB per formula unit, excess energy over the best structure of this formula in the dataset 1.43 eV per formula unit. Number 2: magnetic moment 3.02 μB per formula unit, excess energy over the best structure of this formula in the dataset 0.18 eV per formula unit.